Record 1
The following is a DFT calculation (PBE) of a geometry-optimized Fe5Co3 structure.

Cell lengths 4.945, 8.015, 4.949 Å; angles 90.00, 109.77, 90.00 degrees
Space group C2/m (No. 12)
Asymmetric unit:
Fe (0.000, 0.000, 0.000) x2
Fe (0.249, 0.249, 0.750) x8
Co (0.000, 0.000, 0.500) x2
Co (0.000, 0.500, 0.000) x2
Co (0.000, 0.500, 0.500) x2

Values from the calculation:
Calculated formation energy ... -26.2 meV per atom
V ... 185 Å³ per cell
Density of states at the Fermi level ... 0.554 states/eV/atom
Energy above the most stable polymorph in this dataset ... 35 meV/atom
Raw total energy ... -63.84 eV/f.u.



Record 2
The following is a DFT calculation (PBE) of a geometry-optimized Fe8Co structure.

Cell lengths 8.556, 8.556, 2.833 Å; angles 90.00, 90.00, 90.00 degrees
Space group I4/mmm (No. 139)
Asymmetric unit:
Fe (0.000, 0.334, 0.000) x8
Fe (0.166, 0.166, 0.500) x8
Co (0.000, 0.000, 0.000) x2

Values from the calculation:
Calculated formation energy ... -17.7 meV per atom
V ... 207 Å³ per cell
Density of states at the Fermi level ... 0.689 states/eV/atom
Energy above the most stable polymorph in this dataset ... 0 meV/atom
Raw total energy ... -74.97 eV/f.u.



Record 3
The following is a DFT calculation (PBE) of a geometry-optimized Fe5Co3 structure.

Cell lengths 5.702, 8.062, 4.019 Å; angles 90.00, 90.00, 90.00 degrees
Space group Cmmm (No. 65)
Asymmetric unit:
Fe (0.000, 0.000, 0.000) x2
Fe (0.250, 0.000, 0.500) x4
Fe (0.250, 0.250, 0.000) x4
Co (0.000, 0.251, 0.500) x4
Co (0.000, 0.500, 0.000) x2

Values from the calculation:
Calculated formation energy ... -58.6 meV per atom
V ... 185 Å³ per cell
Density of states at the Fermi level ... 0.318 states/eV/atom
Energy above the most stable polymorph in this dataset ... 2 meV/atom
Raw total energy ... -64.10 eV/f.u.



Record 4
The following is a DFT calculation (PBE) of a geometry-optimized Fe7Co structure.

Cell lengths 2.830, 4.025, 8.076 Å; angles 90.00, 90.00, 90.00 degrees
Space group Pmmm (No. 47)
Asymmetric unit:
Fe (0.000, 0.000, 0.000) x1
Fe (0.000, 0.000, 0.500) x1
Fe (0.000, 0.500, 0.248) x2
Fe (0.500, 0.000, 0.250) x2
Fe (0.500, 0.500, 0.500) x1
Co (0.500, 0.500, 0.000) x1

Values from the calculation:
Calculated formation energy ... -17.5 meV per atom
V ... 92 Å³ per cell
Density of states at the Fermi level ... 0.763 states/eV/atom
Energy above the most stable polymorph in this dataset ... 2 meV/atom
Raw total energy ... -66.48 eV/f.u.